[1]
CaTeI | PBE | relaxed

Output
- Excess energy over the best structure of this formula in the dataset: 26 meV/atom
- Uncorrected energy: -0.2563 Ry per atom
- Symmetry: P-1, No. 2
- ρ: 4.31 g/cm³
- Formation energy from raw total energies: -1257 meV per atom

abc: 4.8281 5.9214 8.6548
angles: 83.98 89.38 67.47
With the nearest neighbours (Å) after each atom.
Sites, in units of the cell vectors:
I 0.1437 0.7372 0.3626  4 Ca 3.25-3.46
I 0.8563 0.2628 0.6374  4 Ca 3.25-3.46
Ca 0.8509 0.3585 0.2607  3 Te 3.19-3.22, 4 I 3.25-3.46
Ca 0.1491 0.6415 0.7393  3 Te 3.19-3.22, 4 I 3.25-3.46
Te 0.5847 0.7589 0.9630  1 Te 2.80
Te 0.4153 0.2411 0.0370  1 Te 2.80

---

[2]
CaTeI | PBE | relaxed

Output
- Excess energy over the best structure of this formula in the dataset: 190 meV/atom
- Uncorrected energy: -0.2443 Ry per atom
- Symmetry: P1, No. 1
- ρ: 4.18 g/cm³
- Formation energy from raw total energies: -1093 meV per atom

abc: 4.2748 4.4152 6.5051
angles: 107.40 90.51 90.05
With the nearest neighbours (Å) after each atom.
Sites, in units of the cell vectors:
Ca 0.2320 0.1046 0.2987  4 Te 3.19-3.21, 2 I 3.22-3.23
I 0.7350 0.0605 0.6594  2 Ca 3.22-3.23, 2 Te 3.29-3.39
Te 0.7310 0.5431 0.1554  4 Ca 3.19-3.21, 2 I 3.29-3.39

---

[3]
CaTeI | PBE | relaxed

Output
- Excess energy over the best structure of this formula in the dataset: 57 meV/atom
- Uncorrected energy: -0.2540 Ry per atom
- Symmetry: Fmm2, No. 42
- ρ: 4.92 g/cm³
- Formation energy from raw total energies: -1225 meV per atom

abc: 18.2237 6.3390 6.8889
angles: 90.00 90.00 90.00
With the nearest neighbours (Å) after each atom.
Sites, in units of the cell vectors:
Te 0.5000 0.7507 0.3959  4 Te 3.16-3.44, 4 Ca 3.28-3.29
Te 0.0000 0.7493 0.3959  4 Te 3.16-3.44, 4 Ca 3.28-3.29
Te 0.5000 0.2493 0.3959  4 Te 3.16-3.44, 4 Ca 3.28-3.29
Te 0.0000 0.7507 0.8959  4 Te 3.16-3.44, 4 Ca 3.28-3.29
Te 0.0000 0.2507 0.3959  4 Te 3.16-3.44, 4 Ca 3.28-3.29
Te 0.5000 0.7493 0.8959  4 Te 3.16-3.44, 4 Ca 3.28-3.29
Te 0.0000 0.2493 0.8959  4 Te 3.16-3.44, 4 Ca 3.28-3.29
Te 0.5000 0.2507 0.8959  4 Te 3.16-3.44, 4 Ca 3.28-3.29
Ca 0.8735 0.5000 0.1429  4 Te 3.28-3.29, 4 I 3.37-3.54
Ca 0.6265 0.5000 0.6429  4 Te 3.28-3.29, 4 I 3.37-3.54
Ca 0.3735 0.5000 0.6429  4 Te 3.28-3.29, 4 I 3.37-3.54
Ca 0.6265 0.0000 0.1429  4 Te 3.28-3.29, 4 I 3.37-3.54
Ca 0.8735 0.0000 0.6429  4 Te 3.28-3.29, 4 I 3.37-3.54
Ca 0.1265 0.5000 0.1429  4 Te 3.28-3.29, 4 I 3.37-3.54
Ca 0.3735 0.0000 0.1429  4 Te 3.28-3.29, 4 I 3.37-3.54
Ca 0.1265 0.0000 0.6429  4 Te 3.28-3.29, 4 I 3.37-3.54
I 0.3112 0.5000 0.1561  5 Ca 3.37-3.71
I 0.8112 0.0000 0.1561  5 Ca 3.37-3.71
I 0.1888 0.5000 0.6561  5 Ca 3.37-3.71
I 0.1888 0.0000 0.1561  5 Ca 3.37-3.71
I 0.3112 0.0000 0.6561  5 Ca 3.37-3.71
I 0.6888 0.5000 0.1561  5 Ca 3.37-3.71
I 0.6888 0.0000 0.6561  5 Ca 3.37-3.71
I 0.8112 0.5000 0.6561  5 Ca 3.37-3.71

---

[4]
CaTeI | PBE | relaxed

Output
- Excess energy over the best structure of this formula in the dataset: 86 meV/atom
- Uncorrected energy: -0.2519 Ry per atom
- Symmetry: Cm, No. 8
- ρ: 4.08 g/cm³
- Formation energy from raw total energies: -1197 meV per atom

abc: 8.4205 4.3751 13.8402
angles: 90.00 109.72 90.00
With the nearest neighbours (Å) after each atom.
Sites, in units of the cell vectors:
I 0.1787 0.0000 0.8639  3 Ca 3.19-3.22
I 0.4043 0.0000 0.6383  4 Ca 3.26-3.38
I 0.1787 0.5000 0.3639  3 Ca 3.19-3.22
I 0.4043 0.5000 0.1383  4 Ca 3.26-3.38
Te 0.8705 0.0000 0.6049  1 Te 2.81
Te 0.6902 0.0000 0.3934  1 Te 2.81, 2 Ca 3.10
Te 0.6902 0.5000 0.8934  1 Te 2.81, 2 Ca 3.10
Te 0.8705 0.5000 0.1049  1 Te 2.81
Ca 0.1611 0.5000 0.6933  4 I 3.19-3.26, 2 Te 3.20
Ca 0.5678 0.0000 0.0107  4 Te 3.10-3.28, 3 I 3.22-3.38
Ca 0.1611 0.0000 0.1933  4 I 3.19-3.26, 2 Te 3.20
Ca 0.5678 0.5000 0.5107  4 Te 3.10-3.28, 3 I 3.22-3.38